AlTlIr3 (PBE-GGA, optimized geometry); DFT total energy = -4.32 eV/atom; distance to the lowest polymorph of the same formula = 1.350 eV/atom; V = 119.0 Å³/cell; calculated formation energy = 11.08 eV per formula unit
1.0
4.919 0.000 0.000
0.000 4.919 0.000
0.000 0.000 4.919
Al Tl Ir
1 1 3
Cartesian
0.000 0.000 0.000 Al
2.460 2.460 2.460 Tl
0.000 2.460 2.460 Ir
2.460 0.000 2.460 Ir
2.460 2.460 0.000 Ir